No. 1
Here is a geometry-optimized RbTlNO2 structure from Alexandria via LeMat-Bulk. Energies are from PBE.

Output
The value obtained for the uncorrected formation energy is 338 meV per atom.

a = 4.474 Å, b = 4.474 Å, c = 4.662 Å
α = 90.00°, β = 90.00°, γ = 90.00°
Fractional coordinates of all 5 atoms:
Rb: 0.000 0.000 0.000
Tl: 0.500 0.500 0.500
N: 0.500 0.500 0.000
O: 0.000 0.500 0.500
O: 0.500 0.000 0.500

---

No. 2
Here is a geometry-optimized Tm5BeCu4 structure from Alexandria via LeMat-Bulk. Energies are from PBE.

Output
As for the energy of formation: -0.22 eV per atom.

a = 3.393 Å, b = 3.393 Å, c = 17.113 Å
α = 90.00°, β = 90.00°, γ = 90.00°
Fractional coordinates of all 10 atoms:
Tm: 0.000 0.000 0.000
Tm: 0.000 0.000 0.202
Tm: 0.000 0.000 0.404
Tm: 0.000 0.000 0.596
Tm: 0.000 0.000 0.798
Be: 0.500 0.500 0.500
Cu: 0.500 0.500 0.100
Cu: 0.500 0.500 0.304
Cu: 0.500 0.500 0.696
Cu: 0.500 0.500 0.900

---

No. 3
Here is a geometry-optimized LaTb12Dy6 structure from Alexandria via LeMat-Bulk. Energies are from PBE.

Output
The distance to the lowest polymorph of the same formula is 0.272 eV per atom. As for the energy of formation: 0.42 eV per atom.

a = 9.364 Å, b = 9.364 Å, c = 9.364 Å
α = 108.25°, β = 108.25°, γ = 108.25°
Fractional coordinates of all 19 atoms:
La: 0.000 0.000 0.000
Tb: 0.109 0.500 0.891
Tb: 0.109 0.891 0.500
Tb: 0.166 0.378 0.378
Tb: 0.378 0.166 0.378
Tb: 0.378 0.378 0.166
Tb: 0.500 0.109 0.891
Tb: 0.500 0.891 0.109
Tb: 0.622 0.622 0.834
Tb: 0.622 0.834 0.622
Tb: 0.834 0.622 0.622
Tb: 0.891 0.109 0.500
Tb: 0.891 0.500 0.109
Dy: 0.249 0.683 0.683
Dy: 0.317 0.317 0.751
Dy: 0.317 0.751 0.317
Dy: 0.683 0.249 0.683
Dy: 0.683 0.683 0.249
Dy: 0.751 0.317 0.317

---

No. 4
Here is a geometry-optimized CaNdCd2 structure from Alexandria via LeMat-Bulk. Energies are from PBE.

Output
The distance to the lowest polymorph of the same formula is 0.009 eV per atom. As for the energy of formation: -0.36 eV per atom.

a = 5.447 Å, b = 5.447 Å, c = 3.840 Å
α = 90.00°, β = 90.00°, γ = 90.00°
Fractional coordinates of all 4 atoms:
Ca: 0.000 0.000 0.000
Nd: 0.500 0.500 0.000
Cd: 0.000 0.500 0.500
Cd: 0.500 0.000 0.500